Crystalline NaTl3Pt at its relaxed geometry. Source: Alexandria via LeMat-Bulk, functional GGA-PBE.

energy above the lowest structure with this stoichiometry: 0.079 eV per atom
DFT formation energy: -14 meV per atom
total magnetic moment: 0.0 μB/cell
crystal system: cubic

Structure (CIF):
```
data_NaTl3Pt
_cell_length_a 5.4168
_cell_length_b 5.4168
_cell_length_c 5.4168
_cell_angle_alpha 90.00
_cell_angle_beta 90.00
_cell_angle_gamma 90.00
_symmetry_space_group_name_H-M 'P m -3 m'
_symmetry_Int_Tables_number 221
_symmetry_space_group_name_Hall '-P 4 2 3'
loop_
_atom_site_label
_atom_site_type_symbol
_atom_site_fract_x
_atom_site_fract_y
_atom_site_fract_z
_atom_site_occupancy
Na1 Na 0.0000 0.0000 0.0000 1
Tl1 Tl 0.0000 0.5000 0.5000 1
Pt1 Pt 0.5000 0.5000 0.5000 1
```

---

Crystalline Sc2VTcAs at its relaxed geometry. Source: Alexandria via LeMat-Bulk, functional GGA-PBE.

DFT formation energy: 520 meV per atom
total magnetic moment: 1.0 μB/cell
crystal system: tetragonal

Structure (CIF):
```
data_Sc2VTcAs
_cell_length_a 4.8962
_cell_length_b 4.8962
_cell_length_c 4.4411
_cell_angle_alpha 90.00
_cell_angle_beta 90.00
_cell_angle_gamma 90.00
_symmetry_space_group_name_H-M 'P 4/m m m'
_symmetry_Int_Tables_number 123
_symmetry_space_group_name_Hall '-P 4 2'
loop_
_atom_site_label
_atom_site_type_symbol
_atom_site_fract_x
_atom_site_fract_y
_atom_site_fract_z
_atom_site_occupancy
Sc1 Sc 0.0000 0.5000 0.0000 1
V1 V 0.0000 0.0000 0.5000 1
Tc1 Tc 0.5000 0.5000 0.5000 1
As1 As 0.0000 0.0000 0.0000 1
```

---

Crystalline SrTeRu2 at its relaxed geometry. Source: Alexandria via LeMat-Bulk, functional GGA-PBE.

formation energy (no corrections): 0.485 eV/atom
total magnetic moment: 0.0 μB/cell
crystal system: tetragonal

Structure (CIF):
```
data_SrTeRu2
_cell_length_a 7.7259
_cell_length_b 7.7259
_cell_length_c 6.3965
_cell_angle_alpha 90.00
_cell_angle_beta 90.00
_cell_angle_gamma 90.00
_symmetry_space_group_name_H-M 'I -4 2 d'
_symmetry_Int_Tables_number 122
_symmetry_space_group_name_Hall 'I -4 2bw'
loop_
_atom_site_label
_atom_site_type_symbol
_atom_site_fract_x
_atom_site_fract_y
_atom_site_fract_z
_atom_site_occupancy
Sr1 Sr 0.0000 0.0000 0.0000 1
Te1 Te 0.0000 0.0000 0.5000 1
Ru1 Ru 0.1760 0.7500 0.6250 1
```

---

The evaluated DOS at the Fermi energy for the records listed, in turn: 0.51 1.14 0.02 states/eV/atom.
The evaluated raw total energy for the records listed, in turn: -2.906 -6.839 -5.359 eV per atom.